Entry 1:
Material: Y2HgSe2
Method: DFT, PBE-GGA
State: relaxed

CIF file:
```
data_Y2HgSe2
_cell_length_a 5.063
_cell_length_b 5.063
_cell_length_c 11.983
_cell_angle_alpha 90.00
_cell_angle_beta 90.00
_cell_angle_gamma 90.00
_space_group_name_H-M_alt 'I 4/m m m'
_space_group_IT_number 139
_space_group_name_Hall '-I 4 2'
loop_
_atom_site_label
_atom_site_type_symbol
_atom_site_fract_x
_atom_site_fract_y
_atom_site_fract_z
Y1 Y 0.000 0.500 0.250
Hg1 Hg 0.000 0.000 0.000
Se1 Se 0.000 0.000 0.352
```

Calculated values
Magnetization = 0.00 μB per cell
E_form (uncorrected) = -1109 meV/atom
Density of states at the Fermi level = 2.63 states/eV/cell
Density = 5.8 g/cm3

Entry 2:
Material: YMnCuGe2
Method: DFT, PBE-GGA
State: relaxed

CIF file:
```
data_YMnCuGe2
_cell_length_a 4.057
_cell_length_b 4.057
_cell_length_c 10.624
_cell_angle_alpha 90.00
_cell_angle_beta 90.00
_cell_angle_gamma 90.00
_space_group_name_H-M_alt 'I -4 m 2'
_space_group_IT_number 119
_space_group_name_Hall 'I -4 -2'
loop_
_atom_site_label
_atom_site_type_symbol
_atom_site_fract_x
_atom_site_fract_y
_atom_site_fract_z
Y1 Y 0.000 0.000 0.000
Mn1 Mn 0.000 0.500 0.250
Cu1 Cu 0.000 0.500 0.750
Ge1 Ge 0.000 0.000 0.382
```

Calculated values
Magnetization = 6.54 μB per cell
Total DFT energy (no corrections) = -6.254 eV/atom
Density of states at the Fermi level = 5.01 states/eV/cell
Density = 6.7 g/cm3

Entry 3:
Material: Bi3Rh4Pb
Method: DFT, PBE-GGA
State: relaxed

CIF file:
```
data_Bi3Rh4Pb
_cell_length_a 6.369
_cell_length_b 6.702
_cell_length_c 8.841
_cell_angle_alpha 90.00
_cell_angle_beta 90.00
_cell_angle_gamma 90.00
_space_group_name_H-M_alt 'I m m 2'
_space_group_IT_number 44
_space_group_name_Hall 'I 2 -2'
loop_
_atom_site_label
_atom_site_type_symbol
_atom_site_fract_x
_atom_site_fract_y
_atom_site_fract_z
Bi1 Bi 0.000 0.000 0.000
Bi2 Bi 0.000 0.237 0.575
Rh1 Rh 0.000 0.288 0.276
Rh2 Rh 0.228 0.500 0.745
Pb1 Pb 0.000 0.500 0.011
```

Calculated values
Magnetization = 0.00 μB per cell
Total DFT energy (no corrections) = -5.364 eV/atom
Density of states at the Fermi level = 15.08 states/eV/cell
Density = 11.0 g/cm3

Entry 4:
Material: TcRu2Br
Method: DFT, PBE-GGA
State: relaxed

CIF file:
```
data_TcRu2Br
_cell_length_a 3.995
_cell_length_b 3.995
_cell_length_c 3.831
_cell_angle_alpha 90.00
_cell_angle_beta 90.00
_cell_angle_gamma 90.00
_space_group_name_H-M_alt 'P 4/m m m'
_space_group_IT_number 123
_space_group_name_Hall '-P 4 2'
loop_
_atom_site_label
_atom_site_type_symbol
_atom_site_fract_x
_atom_site_fract_y
_atom_site_fract_z
Tc1 Tc 0.000 0.000 0.000
Ru1 Ru 0.000 0.500 0.500
Br1 Br 0.500 0.500 0.000
```

Calculated values
Magnetization = 0.00 μB per cell
E_form (uncorrected) = 1182 meV/atom
Density of states at the Fermi level = 6.49 states/eV/cell
Density = 10.3 g/cm3

What did the second record say?
Material: YMnCuGe2
Method: DFT, PBE-GGA
State: relaxed

CIF file:
```
data_YMnCuGe2
_cell_length_a 4.057
_cell_length_b 4.057
_cell_length_c 10.624
_cell_angle_alpha 90.00
_cell_angle_beta 90.00
_cell_angle_gamma 90.00
_space_group_name_H-M_alt 'I -4 m 2'
_space_group_IT_number 119
_space_group_name_Hall 'I -4 -2'
loop_
_atom_site_label
_atom_site_type_symbol
_atom_site_fract_x
_atom_site_fract_y
_atom_site_fract_z
Y1 Y 0.000 0.000 0.000
Mn1 Mn 0.000 0.500 0.250
Cu1 Cu 0.000 0.500 0.750
Ge1 Ge 0.000 0.000 0.382
```

Calculated values
Magnetization = 6.54 μB per cell
Total DFT energy (no corrections) = -6.254 eV/atom
Density of states at the Fermi level = 5.01 states/eV/cell
Density = 6.7 g/cm3